Entry 1:
Density functional theory data (GGA-PBE) for crystalline PtRh2W at its relaxed geometry.

Properties
Total magnetic moment, μB/cell: 0.00
Distance to the lowest polymorph of the same formula, kJ/mol of atoms: 31.2
DFT formation energy, meV/atom: 79
Mass density, Mg/m³: 15.99
N(E_F), states/eV/cell: 14.7

a b c (Å): 6.2389 6.2389 6.2389
angles (deg): 90.00 90.00 90.00
Space group F-43m (No. 216)
Symmetry-distinct sites (fractional):
Pt (0.0000, 0.0000, 0.0000) x4
Rh (0.0000, 0.0000, 0.5000) x4
Rh (0.2500, 0.2500, 0.7500) x4
W (0.2500, 0.2500, 0.2500) x4

=====

Entry 2:
Density functional theory data (GGA-PBE) for crystalline TcAg2Br at its relaxed geometry.

Properties
Total magnetic moment, μB/cell: 6.60
Distance to the lowest polymorph of the same formula, kJ/mol of atoms: 40.0
Mass density, Mg/m³: 8.36
N(E_F), states/eV/cell: 3.9
Energy relative to the elements, uncorrected, eV per atom: 0.828

a b c (Å): 4.4422 4.4422 7.9289
angles (deg): 90.00 90.00 90.00
Space group I-4m2 (No. 119)
Symmetry-distinct sites (fractional):
Tc (0.0000, 0.0000, 0.0000) x2
Ag (0.0000, 0.0000, 0.5000) x2
Ag (0.0000, 0.5000, 0.7500) x2
Br (0.0000, 0.5000, 0.2500) x2

=====

Entry 3:
Density functional theory data (GGA-PBE) for crystalline Ac2NpHS5 at its relaxed geometry.

Properties
Total magnetic moment, μB/cell: 15.62
Final energy, eV/f.u.: -59.18
Mass density, Mg/m³: 6.58
N(E_F), states/eV/cell: 43.5

a b c (Å): 4.1827 17.1735 11.9824
angles (deg): 90.00 90.00 90.00
Space group Cmc2_1 (No. 36)
Symmetry-distinct sites (fractional):
Ac (0.0000, 0.1158, 0.0000) x4
Ac (0.0000, 0.1310, 0.6281) x4
Np (0.0000, 0.1863, 0.3252) x4
H (0.0000, 0.4767, 0.7224) x4
S (0.0000, 0.0418, 0.3909) x4
S (0.0000, 0.2942, 0.9773) x4
S (0.0000, 0.3107, 0.6701) x4
S (0.0000, 0.3498, 0.3199) x4
S (0.0000, 0.4993, 0.6132) x4

=====

Entry 4:
Density functional theory data (GGA-PBE) for crystalline PmYP2 at its relaxed geometry.

Properties
Total magnetic moment, μB/cell: 0.00
Distance to the lowest polymorph of the same formula, kJ/mol of atoms: 51.1
DFT formation energy, meV/atom: -1063
Mass density, Mg/m³: 5.63
N(E_F), states/eV/cell: 6.8

a b c (Å): 7.0397 7.0397 7.0397
angles (deg): 90.00 90.00 90.00
Space group Fm-3m (No. 225)
Symmetry-distinct sites (fractional):
Pm (0.0000, 0.0000, 0.0000) x4
Y (0.0000, 0.0000, 0.5000) x4
P (0.2500, 0.2500, 0.2500) x8

=====

Entry 5:
Density functional theory data (GGA-PBE) for crystalline YMgP at its relaxed geometry.

Properties
Total magnetic moment, μB/cell: 0.00
Distance to the lowest polymorph of the same formula, kJ/mol of atoms: 37.3
DFT formation energy, meV/atom: -521
Mass density, Mg/m³: 3.49
N(E_F), states/eV/cell: 2.3

a b c (Å): 3.4777 3.4777 11.3482
angles (deg): 90.00 90.00 90.00
Space group I4mm (No. 107)
Symmetry-distinct sites (fractional):
Y (0.0000, 0.0000, 0.0000) x2
Mg (0.0000, 0.0000, 0.2689) x2
P (0.0000, 0.0000, 0.6287) x2

=====

Entry 6:
Density functional theory data (GGA-PBE) for crystalline U3Cu3Sn4 at its relaxed geometry.

Properties
Total magnetic moment, μB/cell: 23.46
DFT formation energy, meV/atom: -23
Mass density, Mg/m³: 10.53
N(E_F), states/eV/cell: 100.7

a b c (Å): 9.5465 9.5465 9.5465
angles (deg): 90.00 90.00 90.00
Space group I-43d (No. 220)
Symmetry-distinct sites (fractional):
U (0.0000, 0.2500, 0.8750) x12
Cu (0.0000, 0.2500, 0.3750) x12
Sn (0.0844, 0.4156, 0.5844) x16

=====

Entry 7:
Density functional theory data (GGA-PBE) for crystalline ZrAg2SbI at its relaxed geometry.

Properties
Total magnetic moment, μB/cell: 0.00
Mass density, Mg/m³: 6.20
N(E_F), states/eV/cell: 4.6
Energy relative to the elements, uncorrected, eV per atom: 0.843

a b c (Å): 5.2255 5.2255 5.4538
angles (deg): 90.00 90.00 90.00
Space group P4/mmm (No. 123)
Symmetry-distinct sites (fractional):
Zr (0.0000, 0.0000, 0.0000) x1
Ag (0.0000, 0.5000, 0.5000) x2
Sb (0.5000, 0.5000, 0.0000) x1
I (0.0000, 0.0000, 0.5000) x1

=====

Entry 8:
Density functional theory data (GGA-PBE) for crystalline Ag2S2I at its relaxed geometry.

Properties
Total magnetic moment, μB/cell: 0.00
Mass density, Mg/m³: 5.35
N(E_F), states/eV/cell: 1.9
Energy relative to the elements, uncorrected, eV per atom: 0.103

a b c (Å): 4.8871 6.7402 7.6708
angles (deg): 90.00 90.00 90.00
Space group Cmmm (No. 65)
Symmetry-distinct sites (fractional):
Ag (0.0000, 0.0000, 0.2177) x4
S (0.2023, 0.5000, 0.5000) x4
I (0.0000, 0.5000, 0.0000) x2

=====

Entry 9:
Density functional theory data (GGA-PBE) for crystalline Sr2BeNi at its relaxed geometry.

Properties
Total magnetic moment, μB/cell: 0.00
DFT formation energy, meV/atom: 384
Mass density, Mg/m³: 4.01
N(E_F), states/eV/cell: 6.2

a b c (Å): 7.3259 7.3626 3.7287
angles (deg): 90.00 90.19 90.00
Space group C2/m (No. 12)
Symmetry-distinct sites (fractional):
Sr (0.2500, 0.2500, 0.0000) x4
Be (0.0000, 0.0000, 0.5000) x2
Ni (0.0000, 0.5000, 0.5000) x2

=====

Entry 10:
Density functional theory data (GGA-PBE) for crystalline V2Cr4Ru at its relaxed geometry.

Properties
Total magnetic moment, μB/cell: 10.93
DFT formation energy, meV/atom: 1261
Mass density, Mg/m³: 5.55
N(E_F), states/eV/cell: 22.4

a b c (Å): 4.4154 4.4154 12.6034
angles (deg): 90.00 90.00 90.00
Space group I4/mmm (No. 139)
Symmetry-distinct sites (fractional):
V (0.0000, 0.0000, 0.1126) x4
Cr (0.0000, 0.0000, 0.3045) x4
Cr (0.0000, 0.5000, 0.0000) x4
Ru (0.0000, 0.0000, 0.5000) x2

=====

Entry 11:
Density functional theory data (GGA-PBE) for crystalline NaMgCuTe2 at its relaxed geometry.

Properties
Total magnetic moment, μB/cell: 0.00
Mass density, Mg/m³: 4.16
N(E_F), states/eV/cell: 0.0
Energy relative to the elements, uncorrected, eV per atom: -0.579

a b c (Å): 7.4250 5.3117 7.5675
angles (deg): 90.00 101.40 90.00
Space group P2/c (No. 13)
Symmetry-distinct sites (fractional):
Na (0.0000, 0.1810, 0.2500) x2
Mg (0.5000, 0.4993, 0.2500) x2
Cu (0.5000, 0.0000, 0.0000) x2
Te (0.2423, 0.2944, 0.9512) x4

=====

Entry 12:
Density functional theory data (GGA-PBE) for crystalline Li5Ir at its relaxed geometry.

Properties
Total magnetic moment, μB/cell: 0.00
Distance to the lowest polymorph of the same formula, kJ/mol of atoms: 1.4
DFT formation energy, meV/atom: -44
Mass density, Mg/m³: 4.02
N(E_F), states/eV/cell: 3.1

a b c (Å): 2.5427 4.3249 8.5246
angles (deg): 90.00 90.00 90.00
Space group Pmmm (No. 47)
Symmetry-distinct sites (fractional):
Li (0.0000, 0.0000, 0.0000) x1
Li (0.0000, 0.0000, 0.3590) x2
Li (0.5000, 0.5000, 0.1919) x2
Ir (0.5000, 0.5000, 0.5000) x1

=====

Q: Among the records above, which one has the highest N(E_F)?
A: U3Cu3Sn4